Density functional theory data (PBE) for PtRh2F after structural relaxation.

- spin magnetization (μB/f.u.) = 0.0
- formation energy from raw total energies (eV per atom) = 0.137
- D(E_F) (states/eV per atom) = 1.94

Cell: 4.297 4.297 4.297 Å, 60.00 60.00 60.00°
Atoms (fractional coordinates):
Rh 0.750 0.750 0.750
Pt 0.500 0.500 0.500
F 0.000 0.000 0.000
Rh 0.250 0.250 0.250

Density functional theory data (PBE) for Rb2TiPPb after structural relaxation.

- spin magnetization (μB/f.u.) = 4.3
- formation energy (eV per atom) = 0.99
- D(E_F) (states/eV per atom) = 0.93

Cell: 6.709 5.351 6.709 Å, 90.00 90.00 90.00°
Each line ends with the local moment (μB).
Atoms (fractional coordinates):
Rb 0.500 0.000 0.000  0.02
Pb 0.000 0.500 0.000  0.03
P 0.500 0.500 0.500  0.79
Rb 0.000 0.000 0.500  0.03
Ti 0.000 0.000 0.000  1.69

Density functional theory data (PBE) for La5Co2Bi after structural relaxation.

- spin magnetization (μB/f.u.) = 0.0
- formation energy (eV per atom) = -0.34
- D(E_F) (states/eV per atom) = 1.01

Cell: 8.044 8.044 9.040 Å, 116.42 116.42 90.00°
Atoms (fractional coordinates):
La 0.474 0.286 0.261
La 0.974 0.474 0.261
Bi 0.250 0.250 0.500
La 0.000 0.000 0.000
La 0.026 0.526 0.739
La 0.526 0.714 0.739
La 0.786 0.974 0.261
La 0.500 0.500 0.000
Co 0.855 0.645 0.000
Co 0.355 0.855 0.000
La 0.714 0.214 0.739
Co 0.645 0.145 0.000
Co 0.145 0.355 0.000
La 0.214 0.026 0.739
La 0.286 0.786 0.261
Bi 0.750 0.750 0.500

Density functional theory data (PBE) for Ac2CoSb after structural relaxation.

- spin magnetization (μB/f.u.) = 1.1
- formation energy from raw total energies (eV per atom) = -0.269
- D(E_F) (states/eV per atom) = 0.93

Cell: 4.126 5.437 5.437 Å, 90.00 90.00 90.00°
Each line ends with the local moment (μB).
Atoms (fractional coordinates):
Ac 0.000 0.000 0.500  -0.09
Sb 0.500 0.500 0.500  0.03
Co 0.500 0.000 0.000  1.55
Ac 0.000 0.500 0.000  -0.09

Density functional theory data (PBE) for TaCoPt2 after structural relaxation.

- spin magnetization (μB/f.u.) = 0.6
- formation energy (eV per atom) = -0.36
- D(E_F) (states/eV per atom) = 0.97

Cell: 3.298 3.298 5.569 Å, 90.00 90.00 90.00°
Each line ends with the local moment (μB).
Atoms (fractional coordinates):
Ta 0.000 0.000 0.518  -0.11
Pt 0.500 0.500 0.259  0.01
Co 0.500 0.500 0.745  0.71
Pt 0.000 0.000 0.978  0.04

Density functional theory data (PBE) for Li2ErIn2Hg2 after structural relaxation.

- spin magnetization (μB/f.u.) = 0.0
- formation energy (eV per atom) = -0.28
- D(E_F) (states/eV per atom) = 0.46

Cell: 4.816 4.816 8.187 Å, 72.89 72.89 60.00°
Atoms (fractional coordinates):
Li 0.140 0.140 0.579
Li 0.860 0.860 0.421
Er 0.000 0.000 0.000
In 0.270 0.270 0.190
Hg 0.568 0.568 0.295
Hg 0.432 0.432 0.705
In 0.730 0.730 0.810

Density functional theory data (PBE) for CoWSeBr2 after structural relaxation.

- spin magnetization (μB/f.u.) = 2.7
- formation energy from raw total energies (eV per atom) = 0.958
- D(E_F) (states/eV per atom) = 2.79

Cell: 5.170 5.170 4.861 Å, 90.00 90.00 90.00°
Each line ends with the local moment (μB).
Atoms (fractional coordinates):
Co 0.500 0.500 0.500  2.40
Br 0.000 0.500 0.000  0.02
Se 0.000 0.000 0.500  0.02
W 0.000 0.000 0.000  -0.08
Br 0.500 0.000 0.000  0.02

Density functional theory data (PBE) for La5BiAu2 after structural relaxation.

- spin magnetization (μB/f.u.) = 0.0
- formation energy (eV per atom) = -0.67
- D(E_F) (states/eV per atom) = 1.26

Cell: 8.570 8.570 9.177 Å, 117.83 117.83 90.00°
Atoms (fractional coordinates):
Au 0.360 0.860 0.000
La 0.204 0.011 0.715
La 0.489 0.296 0.285
La 0.011 0.511 0.715
Bi 0.750 0.750 0.500
La 0.296 0.796 0.285
La 0.511 0.704 0.715
Au 0.140 0.360 0.000
Au 0.860 0.640 0.000
La 0.500 0.500 0.000
La 0.796 0.989 0.285
Bi 0.250 0.250 0.500
La 0.000 0.000 0.000
Au 0.640 0.140 0.000
La 0.989 0.489 0.285
La 0.704 0.204 0.715

Density functional theory data (PBE) for NpSbS4 after structural relaxation.

- spin magnetization (μB/f.u.) = 2.0
- formation energy from raw total energies (eV per atom) = -0.499
- D(E_F) (states/eV per atom) = 1.22

Cell: 7.052 7.052 7.922 Å, 90.00 90.00 76.12°
Each line ends with the local moment (μB).
Atoms (fractional coordinates):
Sb 0.145 0.145 0.250  0.00
Sb 0.855 0.855 0.750  0.00
S 0.196 0.792 0.250  -0.11
S 0.348 0.348 0.019  -0.14
S 0.652 0.652 0.519  -0.14
S 0.348 0.348 0.481  -0.14
S 0.792 0.196 0.250  -0.11
Np 0.483 0.483 0.750  2.62
S 0.804 0.208 0.750  -0.11
Np 0.517 0.517 0.250  2.62
S 0.652 0.652 0.981  -0.14
S 0.208 0.804 0.750  -0.11

Density functional theory data (PBE) for AlTlTc2 after structural relaxation.

- spin magnetization (μB/f.u.) = 0.0
- formation energy (eV per atom) = 0.39
- D(E_F) (states/eV per atom) = 0.98

Cell: 4.278 2.998 5.534 Å, 82.31 90.00 90.00°
Atoms (fractional coordinates):
Tc 0.000 0.042 0.947
Tl 0.500 0.250 0.250
Al 0.500 0.750 0.750
Tc 0.000 0.458 0.553

Density functional theory data (PBE) for K3NiSn after structural relaxation.

- spin magnetization (μB/f.u.) = 3.0
- formation energy (eV per atom) = 0.57
- D(E_F) (states/eV per atom) = 1.41

Cell: 6.097 6.097 6.097 Å, 90.00 90.00 90.00°
Each line ends with the local moment (μB).
Atoms (fractional coordinates):
Sn 0.500 0.500 0.500  0.70
Ni 0.000 0.000 0.000  0.62
K 0.000 0.000 0.500  0.01
K 0.500 0.000 0.000  0.01
K 0.000 0.500 0.000  0.01

Density functional theory data (PBE) for Ac2TeIr after structural relaxation.

- spin magnetization (μB/f.u.) = 0.0
- formation energy from raw total energies (eV per atom) = -0.895
- D(E_F) (states/eV per atom) = 0.55

Cell: 3.849 3.849 8.089 Å, 90.00 90.00 90.00°
Atoms (fractional coordinates):
Te 0.500 0.500 0.500
Ac 0.000 0.000 0.220
Ir 0.500 0.500 0.000
Ac 0.000 0.000 0.780

Density functional theory data (PBE) for NaU2Br11 after structural relaxation.

- spin magnetization (μB/f.u.) = 2.0
- formation energy from raw total energies (eV per atom) = -1.248
- D(E_F) (states/eV per atom) = 0.03

Cell: 15.964 12.277 12.277 Å, 54.88 49.45 49.45°
Each line ends with the local moment (μB).
Atoms (fractional coordinates):
Br 0.500 0.500 0.500  -0.03
Br 0.409 0.329 0.924  -0.04
Br 0.450 0.220 0.523  -0.04
Br 0.662 0.076 0.671  -0.04
U 0.922 0.228 0.772  1.23
Br 0.850 0.438 0.562  -0.04
Br 0.091 0.576 0.171  -0.04
Br 0.950 0.023 0.720  -0.04
Br 0.650 0.938 0.062  -0.04
Br 0.350 0.062 0.938  -0.04
Br 0.150 0.562 0.438  -0.04
U 0.078 0.772 0.228  1.23
Br 0.591 0.671 0.076  -0.04
Br 0.692 0.280 0.977  -0.04
U 0.422 0.272 0.728  1.23
Br 0.550 0.780 0.477  -0.04
Na 0.750 0.750 0.750  0.00
Br 0.909 0.424 0.829  -0.04
Br 0.338 0.924 0.329  -0.04
Br 0.162 0.171 0.576  -0.04
U 0.578 0.728 0.272  1.23
Br 0.000 0.000 0.000  -0.03
Br 0.838 0.829 0.424  -0.04
Na 0.250 0.250 0.250  0.00
Br 0.308 0.720 0.023  -0.04
Br 0.192 0.477 0.780  -0.04
Br 0.808 0.523 0.220  -0.04
Br 0.050 0.977 0.280  -0.04

Density functional theory data (PBE) for Cd2GeIrI after structural relaxation.

- spin magnetization (μB/f.u.) = 0.0
- formation energy from raw total energies (eV per atom) = -0.002
- D(E_F) (states/eV per atom) = 0.64

Cell: 5.398 5.398 4.687 Å, 90.00 90.00 90.00°
Atoms (fractional coordinates):
I 0.500 0.500 0.500
Cd 0.000 0.500 0.000
Ge 0.000 0.000 0.500
Ir 0.000 0.000 0.000
Cd 0.500 0.000 0.000

Density functional theory data (PBE) for Al3Pb after structural relaxation.

- spin magnetization (μB/f.u.) = 0.0
- formation energy (eV per atom) = 0.28
- D(E_F) (states/eV per atom) = 0.45

Cell: 4.398 4.398 4.398 Å, 90.00 90.00 90.00°
Atoms (fractional coordinates):
Al 0.500 0.500 0.000
Al 0.000 0.500 0.500
Al 0.500 0.000 0.500
Pb 0.000 0.000 0.000

Density functional theory data (PBE) for CsLa2Re2N6 after structural relaxation.

- spin magnetization (μB/f.u.) = 0.0
- formation energy from raw total energies (eV per atom) = -0.608
- D(E_F) (states/eV per atom) = 0.24

Cell: 7.063 6.816 7.229 Å, 116.41 89.94 58.85°
Atoms (fractional coordinates):
N 0.592 0.401 0.166
Re 0.882 0.235 0.181
N 0.408 0.599 0.834
Cs 0.500 0.000 0.500
N 0.075 0.851 0.605
La 0.175 0.650 0.222
N 0.925 0.149 0.395
La 0.825 0.350 0.778
N 0.006 0.402 0.167
Re 0.118 0.765 0.819
N 0.994 0.598 0.833

Density functional theory data (PBE) for Zr2CdSe after structural relaxation.

- spin magnetization (μB/f.u.) = 0.0
- formation energy from raw total energies (eV per atom) = -0.393
- D(E_F) (states/eV per atom) = 1.01

Cell: 5.190 3.385 5.258 Å, 77.80 90.00 90.00°
Atoms (fractional coordinates):
Zr 0.500 0.192 0.298
Cd 0.000 0.547 0.433
Se 0.500 0.861 0.868
Zr 0.000 0.901 0.900

Density functional theory data (PBE) for TePt2Cl after structural relaxation.

- spin magnetization (μB/f.u.) = 0.0
- formation energy from raw total energies (eV per atom) = 0.413
- D(E_F) (states/eV per atom) = 0.66

Cell: 4.302 5.624 3.254 Å, 90.00 90.00 90.00°
Atoms (fractional coordinates):
Pt 0.500 0.500 0.000
Te 0.500 0.000 0.500
Cl 0.000 0.500 0.500
Pt 0.000 0.000 0.000

Density functional theory data (PBE) for Nb2HPb after structural relaxation.

- spin magnetization (μB/f.u.) = 0.0
- total DFT energy (no corrections) (eV per atom) = -6.48
- D(E_F) (states/eV per atom) = 0.55

Cell: 5.561 5.561 6.080 Å, 62.79 62.79 90.00°
Atoms (fractional coordinates):
Nb 0.375 0.125 0.250
H 0.500 0.500 0.000
Nb 0.875 0.625 0.750
Nb 0.375 0.625 0.750
H 0.250 0.750 0.500
Pb 0.000 0.000 0.000
Nb 0.375 0.625 0.250
Pb 0.750 0.250 0.500

Density functional theory data (PBE) for AcPm2Au after structural relaxation.

- spin magnetization (μB/f.u.) = 1.0
- formation energy (eV per atom) = -0.03
- D(E_F) (states/eV per atom) = 1.82

Cell: 5.538 5.538 5.538 Å, 60.00 60.00 60.00°
Each line ends with the local moment (μB).
Atoms (fractional coordinates):
Au 0.000 0.000 0.000  0.02
Pm 0.250 0.250 0.250  0.16
Ac 0.500 0.500 0.500  0.18
Pm 0.750 0.750 0.750  0.16